VASP calculation (PBE) on crystalline SmDy7Er3 at its relaxed geometry.

The space group is P3m1 (No. 156) and the conventional cell measures 7.0332, 7.0332 and 8.5535 Å, with angles of 90.00, 90.00 and 120.00 degrees. The distinct sites, in fractional coordinates, are Sm at (0.0000, 0.0000, 0.0000), Dy at (0.0026, 0.5013, 0.0049), Dy at (0.3308, 0.1654, 0.6697), Dy at (0.3333, 0.6667, 0.6744) and Er at (0.1670, 0.3340, 0.3384).

Its energy above the most stable polymorph in this dataset is 0 meV/atom. The calculated formation energy comes out at 0.19 eV per atom. Its density of states at the Fermi level is 17.36 states/eV per cell.

---

VASP calculation (PBE) on crystalline La6TbSm2 at its relaxed geometry.

The space group is Cmmm (No. 65) and the conventional cell measures 9.577, 18.081 and 3.703 Å, with angles of 90.00, 90.00 and 90.00 degrees. The distinct sites, in fractional coordinates, are La at (0.172, 0.165, 0.000), La at (0.179, 0.000, 0.500), Tb at (0.000, 0.500, 0.000) and Sm at (0.000, 0.327, 0.500).

Its energy above the most stable polymorph in this dataset is 58 meV/atom. The calculated formation energy comes out at 0.12 eV per atom. Its density of states at the Fermi level is 27.72 states/eV per cell.

---

VASP calculation (PBE) on crystalline ZrTiAuCl2 at its relaxed geometry.

The space group is P4/mmm (No. 123) and the conventional cell measures 4.837, 4.837 and 5.933 Å, with angles of 90.00, 90.00 and 90.00 degrees. The distinct sites, in fractional coordinates, are Zr at (0.000, 0.000, 0.000), Ti at (0.000, 0.000, 0.500), Au at (0.500, 0.500, 0.500) and Cl at (0.000, 0.500, 0.000).

As for the uncorrected formation energy: 0.01 eV/atom. Its energy above the most stable polymorph in this dataset is 171 meV/atom. Its density of states at the Fermi level is 4.97 states/eV per cell.

---

VASP calculation (PBE) on crystalline Ca2Zn2F at its relaxed geometry.

The space group is I4/mmm (No. 139) and the conventional cell measures 3.627, 3.627 and 17.227 Å, with angles of 90.00, 90.00 and 90.00 degrees. The distinct sites, in fractional coordinates, are Ca at (0.000, 0.000, 0.102), Zn at (0.000, 0.500, 0.250) and F at (0.000, 0.000, 0.500).

As for the uncorrected formation energy: -0.80 eV/atom. Its energy above the most stable polymorph in this dataset is 240 meV/atom. Its density of states at the Fermi level is 6.55 states/eV per cell.

---

VASP calculation (PBE) on crystalline Sc4Al3 at its relaxed geometry.

The space group is R-3m (No. 166, hexagonal axes) and the conventional cell measures 4.7444, 4.7444 and 23.0438 Å, with angles of 90.00, 90.00 and 120.00 degrees. The distinct sites, in fractional coordinates, are Sc at (0.0000, 0.0000, 0.1171), Sc at (0.0000, 0.0000, 0.3701), Al at (0.0000, 0.0000, 0.2464) and Al at (0.0000, 0.0000, 0.5000).

The calculated formation energy comes out at -0.27 eV per atom. Its density of states at the Fermi level is 22.86 states/eV per cell.

---

VASP calculation (PBE) on crystalline LiTbHoLu at its relaxed geometry.

The space group is F-43m (No. 216) and the conventional cell measures 7.667, 7.667 and 7.667 Å, with angles of 90.00, 90.00 and 90.00 degrees. The distinct sites, in fractional coordinates, are Li at (0.000, 0.000, 0.000), Tb at (0.250, 0.250, 0.250), Ho at (0.250, 0.250, 0.750) and Lu at (0.000, 0.000, 0.500).

The calculated formation energy comes out at 0.16 eV per atom. Its density of states at the Fermi level is 13.66 states/eV per cell.

---

VASP calculation (PBE) on crystalline GaPdCS2 at its relaxed geometry.

The space group is P4/mmm (No. 123) and the conventional cell measures 4.717, 4.717 and 4.913 Å, with angles of 90.00, 90.00 and 90.00 degrees. The distinct sites, in fractional coordinates, are Ga at (0.000, 0.000, 0.000), Pd at (0.000, 0.000, 0.500), C at (0.500, 0.500, 0.000) and S at (0.000, 0.500, 0.500).

As for the uncorrected formation energy: 1.58 eV/atom. Its density of states at the Fermi level is 3.12 states/eV per cell.

---

VASP calculation (PBE) on crystalline VAgHRh2 at its relaxed geometry.

The space group is P4/mmm (No. 123) and the conventional cell measures 3.976, 3.976 and 3.868 Å, with angles of 90.00, 90.00 and 90.00 degrees. The distinct sites, in fractional coordinates, are V at (0.000, 0.000, 0.000), Ag at (0.500, 0.500, 0.000), H at (0.000, 0.000, 0.500) and Rh at (0.000, 0.500, 0.500).

For the total energy, the calculation gives -29.83 eV/f.u. Its density of states at the Fermi level is 8.66 states/eV per cell.

---

VASP calculation (PBE) on crystalline SrCdInNi at its relaxed geometry.

The space group is R3m (No. 160, hexagonal axes) and the conventional cell measures 4.5577, 4.5577 and 17.2772 Å, with angles of 90.00, 90.00 and 120.00 degrees. The distinct sites, in fractional coordinates, are Sr at (0.0000, 0.0000, 0.0000), Cd at (0.0000, 0.0000, 0.2044), In at (0.0000, 0.0000, 0.7941) and Ni at (0.0000, 0.0000, 0.4921).

Its energy above the most stable polymorph in this dataset is 39 meV/atom. The calculated formation energy comes out at -0.16 eV per atom. Its density of states at the Fermi level is 6.80 states/eV per cell.

---

VASP calculation (PBE) on crystalline Cu2Sn2Pt7 at its relaxed geometry.

The space group is C2/m (No. 12) and the conventional cell measures 8.982, 8.060 and 5.593 Å, with angles of 90.00, 90.01 and 90.00 degrees. The distinct sites, in fractional coordinates, are Cu at (0.228, 0.000, 0.001), Sn at (0.000, 0.305, 0.500), Pt at (0.000, 0.000, 0.258), Pt at (0.000, 0.500, 0.000) and Pt at (0.250, 0.250, 0.251).

The calculated formation energy comes out at 0.07 eV per atom. Its density of states at the Fermi level is 19.63 states/eV per cell.

---

VASP calculation (PBE) on crystalline BaSbW2 at its relaxed geometry.

The space group is Pm (No. 6) and the conventional cell measures 3.367, 4.172 and 7.465 Å, with angles of 90.00, 97.38 and 90.00 degrees. The distinct sites, in fractional coordinates, are Ba at (0.000, 0.000, 0.000), Sb at (0.585, 0.500, 0.307), W at (0.178, 0.500, 0.607) and W at (0.657, 0.000, 0.564).

As for the uncorrected formation energy: 0.51 eV/atom. Its density of states at the Fermi level is 2.74 states/eV per cell.

---

VASP calculation (PBE) on crystalline V2GeAu2 at its relaxed geometry.

The space group is P4/mbm (No. 127) and the conventional cell measures 6.358, 6.358 and 4.150 Å, with angles of 90.00, 90.00 and 90.00 degrees. The distinct sites, in fractional coordinates, are V at (0.130, 0.370, 0.000), Ge at (0.000, 0.000, 0.000) and Au at (0.157, 0.657, 0.500).

The calculated formation energy comes out at 0.10 eV per atom. Its density of states at the Fermi level is 9.87 states/eV per cell.